The following is a PBE calculation of an optimized crystal structure of TiNbVRh, from Alexandria.

POSCAR file:
```
TiNbVRh
1.0
6.267 0.000 0.000
0.000 6.267 0.000
0.000 0.000 6.267
Ti Nb V Rh
4 4 4 4
Direct
0.000 0.000 0.000
0.000 0.500 0.500
0.500 0.000 0.500
0.500 0.500 0.000
0.000 0.000 0.500
0.000 0.500 0.000
0.500 0.000 0.000
0.500 0.500 0.500
0.250 0.250 0.750
0.250 0.750 0.250
0.750 0.250 0.250
0.750 0.750 0.750
0.250 0.250 0.250
0.250 0.750 0.750
0.750 0.250 0.750
0.750 0.750 0.250
```

Properties
As for the offset from the most stable computed form: 0.22 eV/f.u. The calculation puts the formation energy from the elements at -301 meV/atom. For the calculated volume, the calculation gives 15.387 Å³ per atom. Its total energy is -35.640 eV/f.u.